Crystalline Cs4AgBr7 at its relaxed geometry. Source: the Alexandria database, functional PBE.

Calculated values
D(E_F) in states/eV/f.u.: 2.406
Raw formation energy in eV/atom: -1.2586
Total moment in Bohr magnetons per cell: 0.0
Calculated total energy in eV per atom: -2.757

Cell and atoms, written as CIF:
```
data_Cs4AgBr7
_chemical_formula_sum 'Cs8 Ag2 Br14'
_cell_length_a 18.9879
_cell_length_b 5.5289
_cell_length_c 12.1626
_cell_angle_alpha 90.00
_cell_angle_beta 119.07
_cell_angle_gamma 90.00
_symmetry_space_group_name_H-M 'C 1 2/m 1'
_symmetry_Int_Tables_number 12
loop_
_symmetry_equiv_pos_as_xyz
'x,y,z'
'-x,-y,-z'
'-x,y,-z'
'x,-y,z'
'x+1/2,y+1/2,z'
'-x+1/2,-y+1/2,-z'
'-x+1/2,y+1/2,-z'
'x+1/2,-y+1/2,z'
loop_
_atom_site_label
_atom_site_type_symbol
_atom_site_fract_x
_atom_site_fract_y
_atom_site_fract_z
Cs1 Cs 0.0469 0.0000 0.2310
Cs2 Cs 0.2151 0.0000 0.8057
Ag1 Ag 0.0000 0.5000 0.5000
Br1 Br 0.0000 0.0000 0.5000
Br2 Br 0.0668 0.5000 0.7397
Br3 Br 0.1485 0.0000 0.0507
Br4 Br 0.2436 0.5000 0.4910
```